1.
Entry from OQMD via LeMat-Bulk: crystalline MgZrCd2 at its relaxed geometry (PBE).

Output
As for the symmetry: P4/mmm (123).

a b c (Å): 3.2288 3.2288 8.0785
angles (deg): 90.00 90.00 90.00
Last column: nearest neighbours and their distance in Å.
Fractional coordinates of all 4 atoms:
Mg  0.0000  0.0000  0.0000  8 Cd 3.00, 4 Mg 3.23
Zr  0.0000  0.0000  0.5000  8 Cd 3.10, 4 Zr 3.23
Cd  0.5000  0.5000  0.2412  4 Mg 3.00, 4 Zr 3.10, 4 Cd 3.23
Cd  0.5000  0.5000  0.7588  4 Mg 3.00, 4 Zr 3.10, 4 Cd 3.23

2.
Entry from OQMD via LeMat-Bulk: crystalline Bi2Pd at its relaxed geometry (PBE).

Output
As for the symmetry: Fm-3m (225).

a b c (Å): 4.8360 4.8360 4.8360
angles (deg): 60.00 60.00 60.00
Last column: nearest neighbours and their distance in Å.
Fractional coordinates of all 3 atoms:
Bi  0.2500  0.2500  0.2500  4 Pd 2.96
Bi  0.7500  0.7500  0.7500  4 Pd 2.96
Pd  0.0000  0.0000  0.0000  8 Bi 2.96

no.,volume (Å³ per cell),E (eV per atom)
1,84.2,-3.11
2,80.0,-4.69